Here is a relaxed Cd2OsCl crystal from Alexandria. Energies are from GGA-PBE.

Volume (Å³/cell): 162
DOS(E_F) (states/eV/cell): 6.128

Lattice parameters (Å, degrees): 2.883 5.348 10.535 90.00 90.00 90.00
Space group Cmm2 (No. 35)
One atom of each set of equivalent atoms:
Cd: 0.000 0.000 0.000 [2 per cell]
Cd: 0.000 0.500 0.271 [2 per cell]
Os: 0.000 0.000 0.502 [2 per cell]
Cl: 0.000 0.500 0.679 [2 per cell]



Here is a relaxed Cd3OsCl crystal from Alexandria. Energies are from GGA-PBE.

Volume (Å³/cell): 124
DOS(E_F) (states/eV/cell): 1.786

Lattice parameters (Å, degrees): 4.987 4.987 4.987 90.00 90.00 90.00
Space group Pm-3m (No. 221)
One atom of each set of equivalent atoms:
Cd: 0.000 0.000 0.500 [3 per cell]
Os: 0.500 0.500 0.500 [1 per cell]
Cl: 0.000 0.000 0.000 [1 per cell]



Here is a relaxed CdOs3Cl crystal from Alexandria. Energies are from GGA-PBE.

Volume (Å³/cell): 127
DOS(E_F) (states/eV/cell): 7.388

Lattice parameters (Å, degrees): 5.022 5.022 5.022 90.00 90.00 90.00
Space group Pm-3m (No. 221)
One atom of each set of equivalent atoms:
Cd: 0.000 0.000 0.000 [1 per cell]
Os: 0.000 0.000 0.500 [3 per cell]
Cl: 0.500 0.500 0.500 [1 per cell]



Here is a relaxed Cd2OsCl crystal from Alexandria. Energies are from GGA-PBE.

Volume (Å³/cell): 179
DOS(E_F) (states/eV/cell): 5.189

Lattice parameters (Å, degrees): 2.941 4.824 12.653 90.00 90.00 90.00
Space group Imm2 (No. 44)
One atom of each set of equivalent atoms:
Cd: 0.000 0.000 0.000 [2 per cell]
Cd: 0.000 0.500 0.165 [2 per cell]
Os: 0.000 0.000 0.477 [2 per cell]
Cl: 0.000 0.500 0.826 [2 per cell]



Here is a relaxed Cd3OsCl crystal from Alexandria. Energies are from GGA-PBE.

Volume (Å³/cell): 148
DOS(E_F) (states/eV/cell): 6.928

Lattice parameters (Å, degrees): 5.288 5.288 5.288 90.00 90.00 90.00
Space group Pm-3m (No. 221)
One atom of each set of equivalent atoms:
Cd: 0.000 0.000 0.500 [3 per cell]
Os: 0.000 0.000 0.000 [1 per cell]
Cl: 0.500 0.500 0.500 [1 per cell]



Here is a relaxed Cd2OsCl crystal from Alexandria. Energies are from GGA-PBE.

Volume (Å³/cell): 81
DOS(E_F) (states/eV/cell): 2.368

Lattice parameters (Å, degrees): 2.705 5.242 5.693 90.00 90.00 90.00
Space group Pmmm (No. 47)
One atom of each set of equivalent atoms:
Cd: 0.000 0.000 0.000 [1 per cell]
Cd: 0.500 0.500 0.500 [1 per cell]
Os: 0.000 0.000 0.500 [1 per cell]
Cl: 0.500 0.500 0.000 [1 per cell]



Here is a relaxed Cd2OsCl crystal from Alexandria. Energies are from GGA-PBE.

Volume (Å³/cell): 77
DOS(E_F) (states/eV/cell): 3.728

Lattice parameters (Å, degrees): 3.114 3.114 7.983 90.00 90.00 90.00
Space group P4/mmm (No. 123)
One atom of each set of equivalent atoms:
Cd: 0.000 0.000 0.229 [2 per cell]
Os: 0.500 0.500 0.000 [1 per cell]
Cl: 0.500 0.500 0.500 [1 per cell]



Here is a relaxed Cd2OsCl crystal from Alexandria. Energies are from GGA-PBE.

Volume (Å³/cell): 157
DOS(E_F) (states/eV/cell): 6.854

Lattice parameters (Å, degrees): 4.047 4.047 9.565 90.00 90.00 90.00
Space group I-4m2 (No. 119)
One atom of each set of equivalent atoms:
Cd: 0.000 0.000 0.000 [2 per cell]
Cd: 0.000 0.500 0.250 [2 per cell]
Os: 0.000 0.000 0.500 [2 per cell]
Cl: 0.000 0.500 0.750 [2 per cell]



Here is a relaxed Cd2OsCl crystal from Alexandria. Energies are from GGA-PBE.

Volume (Å³/cell): 80
DOS(E_F) (states/eV/cell): 3.202

Lattice parameters (Å, degrees): 3.154 3.093 8.228 90.00 90.07 90.00
Space group P2/m (No. 10)
One atom of each set of equivalent atoms:
Cd: 0.001 0.000 0.222 [2 per cell]
Os: 0.500 0.500 0.000 [1 per cell]
Cl: 0.000 0.500 0.500 [1 per cell]



Here is a relaxed Cd2OsCl crystal from Alexandria. Energies are from GGA-PBE.

Volume (Å³/cell): 504
DOS(E_F) (states/eV/cell): 13.258

Lattice parameters (Å, degrees): 6.274 6.274 12.792 90.00 90.00 90.00
Space group I-42d (No. 122)
One atom of each set of equivalent atoms:
Cd: 0.228 0.250 0.125 [8 per cell]
Os: 0.000 0.000 0.000 [4 per cell]
Cl: 0.000 0.000 0.500 [4 per cell]



Here is a relaxed Cd2OsCl crystal from Alexandria. Energies are from GGA-PBE.

Volume (Å³/cell): 331
DOS(E_F) (states/eV/cell): 6.373

Lattice parameters (Å, degrees): 6.920 6.920 6.920 90.00 90.00 90.00
Space group Fm-3m (No. 225)
One atom of each set of equivalent atoms:
Cd: 0.250 0.250 0.250 [8 per cell]
Os: 0.000 0.000 0.000 [4 per cell]
Cl: 0.000 0.000 0.500 [4 per cell]



Here is a relaxed Cd2OsCl crystal from Alexandria. Energies are from GGA-PBE.

Volume (Å³/cell): 150
DOS(E_F) (states/eV/cell): 7.169

Lattice parameters (Å, degrees): 4.092 4.092 8.932 90.00 90.00 90.00
Space group I4/mmm (No. 139)
One atom of each set of equivalent atoms:
Cd: 0.000 0.500 0.250 [4 per cell]
Os: 0.000 0.000 0.000 [2 per cell]
Cl: 0.000 0.000 0.500 [2 per cell]



Number 1: E_tot -26.331 eV/cell. Number 2: E_tot -8.868 eV/cell. Number 3: E_tot -20.256 eV/cell. Number 4: E_tot -26.990 eV/cell. Number 5: E_tot -12.514 eV/cell. Number 6: E_tot -12.910 eV/cell. Number 7: E_tot -13.653 eV/cell. Number 8: E_tot -23.287 eV/cell. Number 9: E_tot -13.872 eV/cell. Number 10: E_tot -43.984 eV/cell. Number 11: E_tot -45.511 eV/cell. Number 12: E_tot -22.790 eV/cell.